A plane-wave DFT calculation with PBE-GGA was carried out for a relaxed CaCoSN2 crystal.

a b c (Å): 3.738 3.738 4.881
angles (deg): 90.00 90.00 90.00
Space group P4/mmm (No. 123)
Inequivalent atoms, fractional coordinates:
1 Ca 0.000 0.000 0.000 x1
2 Co 0.500 0.500 0.500 x1
3 S 0.500 0.500 0.000 x1
4 N 0.000 0.500 0.500 x2

Values from the calculation:
Calculated density (g/cm³): 3.87
Energy relative to the elements, uncorrected (eV per atom): 0.159
V (A^3/atom): 13.64



A plane-wave DFT calculation with PBE-GGA was carried out for a relaxed KAgCl3 crystal.

a b c (Å): 5.764 5.764 5.764
angles (deg): 90.00 90.00 90.00
Space group Pm-3m (No. 221)
Inequivalent atoms, fractional coordinates:
1 K 0.000 0.000 0.000 x1
2 Ag 0.500 0.500 0.500 x1
3 Cl 0.000 0.000 0.500 x3

Values from the calculation:
Calculated density (g/cm³): 2.20
Energy relative to the elements, uncorrected (eV per atom): -0.261
V (A^3/atom): 38.30



A plane-wave DFT calculation with PBE-GGA was carried out for a relaxed ZnFeSb crystal.

a b c (Å): 3.003 3.003 12.350
angles (deg): 90.00 90.00 90.00
Space group I4mm (No. 107)
Inequivalent atoms, fractional coordinates:
1 Zn 0.000 0.000 0.000 x2
2 Fe 0.000 0.000 0.384 x2
3 Sb 0.000 0.000 0.756 x2

Values from the calculation:
Calculated density (g/cm³): 7.25
Energy relative to the elements, uncorrected (eV per atom): 0.282
V (A^3/atom): 18.56



A plane-wave DFT calculation with PBE-GGA was carried out for a relaxed Pm3TmIr2 crystal.

a b c (Å): 15.446 4.494 4.704
angles (deg): 90.00 107.67 90.00
Space group C2/m (No. 12)
Inequivalent atoms, fractional coordinates:
1 Pm 0.000 0.000 0.000 x2
2 Pm 0.187 0.500 0.187 x4
3 Tm 0.000 0.500 0.500 x2
4 Ir 0.126 0.000 0.625 x4

Values from the calculation:
Calculated density (g/cm³): 10.55
Final energy (eV per cell): -79.07
V (A^3/atom): 25.93



A plane-wave DFT calculation with PBE-GGA was carried out for a relaxed La2TbCu crystal.

a b c (Å): 3.705 3.705 8.649
angles (deg): 90.00 90.00 90.00
Space group P4/mmm (No. 123)
Inequivalent atoms, fractional coordinates:
1 La 0.000 0.000 0.204 x2
2 Tb 0.500 0.500 0.500 x1
3 Cu 0.500 0.500 0.000 x1

Values from the calculation:
Calculated density (g/cm³): 7.00
Final energy (eV per cell): -18.73
V (A^3/atom): 29.67



A plane-wave DFT calculation with PBE-GGA was carried out for a relaxed La2MnAl crystal.

a b c (Å): 4.6908 4.6908 16.4373
angles (deg): 90.00 90.00 120.00
Space group R3m (No. 160, hexagonal axes)
Inequivalent atoms, fractional coordinates:
1 La 0.0000 0.0000 0.0000 x3
2 La 0.0000 0.0000 0.2062 x3
3 Mn 0.0000 0.0000 0.4340 x3
4 Al 0.0000 0.0000 0.7730 x3

Values from the calculation:
Calculated density (g/cm³): 5.72
Final energy (eV per cell): -68.59
V (A^3/atom): 26.10